# 1
First-principles (GGA-PBE) data for a relaxed K4Ac3TiTe8 crystal, as listed in Alexandria.

The structure belongs to space group R-3m (No. 166, hexagonal axes); the cell edges are 9.3884, 9.3884 and 24.8393 Å and the angles 90.00°, 90.00° and 120.00°. The asymmetric unit holds K at (0.0000, 0.0000, 0.0000), K at (0.0000, 0.5000, 0.0000), Ac at (0.0000, 0.5000, 0.5000), Ti at (0.0000, 0.0000, 0.5000), Te at (0.0000, 0.0000, 0.2432) and Te at (0.0336, 0.5168, 0.2359).

The uncorrected formation energy comes out at -1.2722 eV/atom.

# 2
First-principles (GGA-PBE) data for a relaxed RbAlCd2Pt crystal, as listed in Alexandria.

The structure belongs to space group P4/mmm (No. 123); the cell edges are 5.3749, 5.3749 and 4.8359 Å and the angles 90.00°, 90.00° and 90.00°. The asymmetric unit holds Rb at (0.0000, 0.0000, 0.0000), Al at (0.5000, 0.5000, 0.0000), Cd at (0.0000, 0.5000, 0.5000) and Pt at (0.5000, 0.5000, 0.5000).

As for the formation energy: -1.390 eV per formula unit.

# 3
First-principles (GGA-PBE) data for a relaxed CeCuP crystal, as listed in Alexandria.

The structure belongs to space group R-3m (No. 166, hexagonal axes); the cell edges are 3.9698, 3.9698 and 27.4079 Å and the angles 90.00°, 90.00° and 120.00°. The asymmetric unit holds Ce at (0.0000, 0.0000, 0.0000), Ce at (0.0000, 0.0000, 0.5000), Cu at (0.0000, 0.0000, 0.2494) and P at (0.0000, 0.0000, 0.1023).

As for the formation energy: -2.067 eV per formula unit.

# 4
First-principles (GGA-PBE) data for a relaxed BaTa3Mn crystal, as listed in Alexandria.

The structure belongs to space group Pm-3m (No. 221); the cell edges are 4.8211, 4.8211 and 4.8211 Å and the angles 90.00°, 90.00° and 90.00°. The asymmetric unit holds Ba at (0.0000, 0.0000, 0.0000), Ta at (0.0000, 0.5000, 0.5000) and Mn at (0.5000, 0.5000, 0.5000).

As for the formation energy: 4.850 eV per formula unit. The polymorph energy (0 for the lowest one) comes out at 0.0 meV/atom.

# 5
First-principles (GGA-PBE) data for a relaxed LaCdGe2Pd5 crystal, as listed in Alexandria.

The structure belongs to space group P4/mmm (No. 123); the cell edges are 4.3877, 4.3877 and 8.7486 Å and the angles 90.00°, 90.00° and 90.00°. The asymmetric unit holds La at (0.0000, 0.0000, 0.0000), Cd at (0.0000, 0.0000, 0.5000), Ge at (0.5000, 0.5000, 0.3632), Pd at (0.0000, 0.5000, 0.2370) and Pd at (0.5000, 0.5000, 0.0000).

As for the formation energy: -4.685 eV per formula unit.

# 6
First-principles (GGA-PBE) data for a relaxed IrOsPt3 crystal, as listed in Alexandria.

The structure belongs to space group Pm-3m (No. 221); the cell edges are 4.7718, 4.7718 and 4.7718 Å and the angles 90.00°, 90.00° and 90.00°. The asymmetric unit holds Ir at (0.0000, 0.0000, 0.0000), Os at (0.5000, 0.5000, 0.5000) and Pt at (0.0000, 0.0000, 0.5000).

As for the formation energy: 10.620 eV per formula unit. The polymorph energy (0 for the lowest one) comes out at 222.9 meV/atom.

# 7
First-principles (GGA-PBE) data for a relaxed CaAgRh3 crystal, as listed in Alexandria.

The structure belongs to space group Pm-3m (No. 221); the cell edges are 4.8727, 4.8727 and 4.8727 Å and the angles 90.00°, 90.00° and 90.00°. The asymmetric unit holds Ca at (0.0000, 0.0000, 0.0000), Ag at (0.5000, 0.5000, 0.5000) and Rh at (0.0000, 0.5000, 0.5000).

As for the formation energy: 5.135 eV per formula unit. The polymorph energy (0 for the lowest one) comes out at 0.0 meV/atom.

# 8
First-principles (GGA-PBE) data for a relaxed SbI2O crystal, as listed in Alexandria.

The structure belongs to space group Fm-3m (No. 225); the cell edges are 7.3178, 7.3178 and 7.3178 Å and the angles 90.00°, 90.00° and 90.00°. The asymmetric unit holds Sb at (0.0000, 0.0000, 0.0000), I at (0.2500, 0.2500, 0.2500) and O at (0.0000, 0.0000, 0.5000).

The uncorrected formation energy comes out at 0.5556 eV/atom. The polymorph energy (0 for the lowest one) comes out at 911.1 meV/atom.

- What is the formula in the eighth record?
  SbI2O